1.
This record from Alexandria via LeMat-Bulk describes a relaxed structure of Ca2InTe. The functional is PBE.

a = 9.228 Å, b = 9.228 Å, c = 9.228 Å
α = 26.15°, β = 26.15°, γ = 26.15°
Atoms (fractional coordinates):
Ca 0.074 0.074 0.074
Ca 0.259 0.259 0.259
Te 0.667 0.667 0.667
In 0.499 0.499 0.499

Values from the calculation:
Symmetry = R3m (160)
Density = 3984 kg/m3
Energy above the lowest structure with this stoichiometry = 24.0 meV per atom

=====

2.
This record from Alexandria via LeMat-Bulk describes a relaxed structure of Dy3ThFe8. The functional is PBE.

a = 5.168 Å, b = 5.168 Å, c = 8.934 Å
α = 73.19°, β = 73.19°, γ = 60.00°
Atoms (fractional coordinates):
Dy 0.375 0.375 0.876
Dy 0.002 0.002 0.995
Dy 0.499 0.499 0.504
Th 0.875 0.875 0.374
Fe 0.938 0.438 0.186
Fe 0.437 0.937 0.689
Fe 0.438 0.438 0.186
Fe 0.937 0.937 0.689
Fe 0.187 0.187 0.439
Fe 0.688 0.688 0.936
Fe 0.438 0.938 0.186
Fe 0.937 0.437 0.689

Values from the calculation:
Symmetry = R3m (160)
Energy of formation from the pure elements = -0.085 eV per atom
Density = 9941 kg/m3

=====

3.
This record from Alexandria via LeMat-Bulk describes a relaxed structure of HfTaNi5. The functional is PBE.

a = 3.601 Å, b = 3.601 Å, c = 7.512 Å
α = 90.00°, β = 90.00°, γ = 90.00°
Atoms (fractional coordinates):
Hf 0.000 0.000 0.500
Ta 0.500 0.500 0.000
Ni 0.000 0.500 0.763
Ni 0.000 0.500 0.237
Ni 0.500 0.000 0.763
Ni 0.500 0.000 0.237
Ni 0.500 0.500 0.500

Values from the calculation:
Symmetry = P4/mmm (123)
Energy of formation from the pure elements = -0.197 eV per atom
Density = 11130 kg/m3

=====

4.
This record from Alexandria via LeMat-Bulk describes a relaxed structure of CoSi2P. The functional is PBE.

a = 6.826 Å, b = 6.826 Å, c = 6.826 Å
α = 25.54°, β = 25.54°, γ = 25.54°
Atoms (fractional coordinates):
Co 0.250 0.250 0.250
P 0.750 0.750 0.750
Si 0.998 0.998 0.998
Si 0.502 0.502 0.502

Values from the calculation:
Symmetry = R-3m (166)
Density = 4659 kg/m3
Energy above the lowest structure with this stoichiometry = 166.8 meV per atom

=====

5.
This record from Alexandria via LeMat-Bulk describes a relaxed structure of Nd4CuHg3. The functional is PBE.

a = 3.866 Å, b = 4.878 Å, c = 11.808 Å
α = 90.00°, β = 90.00°, γ = 90.00°
Atoms (fractional coordinates):
Nd 0.500 0.500 0.340
Nd 0.000 0.500 0.865
Nd 0.000 0.000 0.143
Nd 0.500 0.000 0.650
Cu 0.500 0.500 0.075
Hg 0.000 0.500 0.582
Hg 0.000 0.000 0.417
Hg 0.500 0.000 0.928

Values from the calculation:
Symmetry = Pmm2 (25)
Energy of formation from the pure elements = -0.341 eV per atom
Density = 9263 kg/m3
Energy above the lowest structure with this stoichiometry = 38.3 meV per atom

=====

6.
This record from Alexandria via LeMat-Bulk describes a relaxed structure of DyGa4CuRu2. The functional is PBE.

a = 4.250 Å, b = 4.250 Å, c = 8.800 Å
α = 76.02°, β = 76.02°, γ = 60.00°
Atoms (fractional coordinates):
Dy 0.000 0.000 0.000
Ga 0.398 0.398 0.806
Ga 0.871 0.871 0.387
Ga 0.129 0.129 0.613
Ga 0.602 0.602 0.194
Cu 0.500 0.500 0.500
Ru 0.769 0.769 0.693
Ru 0.231 0.231 0.307

Values from the calculation:
Symmetry = R-3m (166)
Energy of formation from the pure elements = -0.335 eV per atom
Density = 8881 kg/m3

=====

7.
This record from Alexandria via LeMat-Bulk describes a relaxed structure of SmDy2Al. The functional is PBE.

a = 4.781 Å, b = 4.794 Å, c = 4.794 Å
α = 90.00°, β = 90.00°, γ = 90.00°
Atoms (fractional coordinates):
Al 0.500 0.000 0.000
Sm 0.500 0.500 0.500
Dy 0.000 0.000 0.500
Dy 0.000 0.500 0.000

Values from the calculation:
Symmetry = P4/mmm (123)
Energy of formation from the pure elements = -0.179 eV per atom
Density = 7592 kg/m3
Energy above the lowest structure with this stoichiometry = 13.5 meV per atom

=====

8.
This record from Alexandria via LeMat-Bulk describes a relaxed structure of CeEr3B4O12. The functional is PBE.

a = 6.508 Å, b = 6.508 Å, c = 6.508 Å
α = 102.49°, β = 102.49°, γ = 102.49°
Atoms (fractional coordinates):
Ce 0.000 0.000 0.000
Er 0.538 0.462 0.000
Er 0.462 0.000 0.538
Er 0.000 0.538 0.462
B 0.961 0.039 0.500
B 0.039 0.500 0.961
B 0.500 0.961 0.039
B 0.500 0.500 0.500
O 0.500 0.364 0.636
O 0.903 0.500 0.097
O 0.097 0.903 0.500
O 0.500 0.097 0.903
O 0.368 0.972 0.180
O 0.180 0.368 0.972
O 0.972 0.180 0.368
O 0.632 0.820 0.028
O 0.028 0.632 0.820
O 0.820 0.028 0.632
O 0.636 0.500 0.364
O 0.364 0.636 0.500

Values from the calculation:
Symmetry = R32 (155)
Raw total energy = -8.37 eV per atom
Density = 5769 kg/m3

=====

9.
This record from Alexandria via LeMat-Bulk describes a relaxed structure of Ca4TlSn. The functional is PBE.

a = 3.775 Å, b = 7.423 Å, c = 9.180 Å
α = 119.23°, β = 78.14°, γ = 75.27°
Atoms (fractional coordinates):
Ca 0.825 0.533 0.818
Ca 0.317 0.042 0.324
Ca 0.175 0.467 0.182
Ca 0.683 0.958 0.676
Tl 0.000 0.000 0.000
Sn 0.500 0.500 0.500

Values from the calculation:
Symmetry = C2/m (12)
Energy of formation from the pure elements = -0.383 eV per atom
Density = 4017 kg/m3
Energy above the lowest structure with this stoichiometry = 0.0 meV per atom

=====

10.
This record from Alexandria via LeMat-Bulk describes a relaxed structure of MgCd2IrO6. The functional is PBE.

a = 5.457 Å, b = 5.525 Å, c = 7.805 Å
α = 90.00°, β = 90.02°, γ = 90.00°
Atoms (fractional coordinates):
Mg 0.500 0.000 0.000
Mg 0.000 0.500 0.500
Cd 0.008 0.956 0.252
Cd 0.508 0.544 0.752
Cd 0.992 0.044 0.748
Cd 0.492 0.456 0.248
Ir 0.500 0.000 0.500
Ir 0.000 0.500 0.000
O 0.293 0.691 0.049
O 0.793 0.809 0.549
O 0.707 0.309 0.951
O 0.207 0.191 0.451
O 0.314 0.709 0.445
O 0.814 0.791 0.945
O 0.686 0.291 0.555
O 0.186 0.209 0.055
O 0.901 0.538 0.240
O 0.401 0.962 0.740
O 0.099 0.462 0.760
O 0.599 0.038 0.260

Values from the calculation:
Symmetry = P2_1/c (14)
Raw total energy = -5.40 eV per atom
Density = 7585 kg/m3

=====

11.
This record from Alexandria via LeMat-Bulk describes a relaxed structure of KTeAs. The functional is PBE.

a = 6.609 Å, b = 6.609 Å, c = 6.609 Å
α = 144.75°, β = 144.75°, γ = 50.71°
Atoms (fractional coordinates):
As 0.052 0.052 0.000
K 0.332 0.332 0.000
Te 0.616 0.616 0.000

Values from the calculation:
Symmetry = I4mm (107)
Density = 4193 kg/m3
Energy above the lowest structure with this stoichiometry = 133.3 meV per atom

=====

12.
This record from Alexandria via LeMat-Bulk describes a relaxed structure of Ba2UTcO8. The functional is PBE.

a = 6.514 Å, b = 6.002 Å, c = 6.468 Å
α = 77.08°, β = 103.54°, γ = 112.39°
Atoms (fractional coordinates):
Ba 0.667 0.387 0.820
Ba 0.333 0.613 0.180
U 0.000 0.000 0.500
Tc 0.000 0.000 0.000
O 0.081 0.820 0.291
O 0.708 0.791 0.984
O 0.932 0.203 0.169
O 0.919 0.180 0.709
O 0.292 0.209 0.016
O 0.068 0.797 0.831
O 0.700 0.761 0.481
O 0.300 0.239 0.519

Values from the calculation:
Symmetry = P-1 (2)
Raw total energy = -7.96 eV per atom
Density = 5457 kg/m3

=====

13.
This record from Alexandria via LeMat-Bulk describes a relaxed structure of Rb4TbCl7. The functional is PBE.

a = 5.348 Å, b = 8.754 Å, c = 12.539 Å
α = 60.41°, β = 77.69°, γ = 72.22°
Atoms (fractional coordinates):
Rb 0.510 0.680 0.300
Rb 0.490 0.320 0.700
Rb 0.754 0.814 0.678
Rb 0.246 0.186 0.322
Tb 0.000 0.000 0.000
Cl 0.893 0.355 0.858
Cl 0.107 0.645 0.142
Cl 0.117 0.975 0.792
Cl 0.883 0.025 0.208
Cl 0.355 0.753 0.538
Cl 0.500 0.000 0.000
Cl 0.645 0.247 0.462

Values from the calculation:
Symmetry = C2/m (12)
Raw total energy = -3.85 eV per atom
Density = 2566 kg/m3

=====

14.
This record from Alexandria via LeMat-Bulk describes a relaxed structure of HoZnGaRu. The functional is PBE.

a = 4.596 Å, b = 4.596 Å, c = 4.596 Å
α = 60.00°, β = 60.00°, γ = 60.00°
Atoms (fractional coordinates):
Ru 0.750 0.750 0.750
Zn 0.500 0.500 0.500
Ho 0.250 0.250 0.250
Ga 0.000 0.000 0.000

Values from the calculation:
Symmetry = F-43m (216)
Energy of formation from the pure elements = -0.297 eV per atom
Density = 9705 kg/m3
Energy above the lowest structure with this stoichiometry = 37.2 meV per atom

=====

15.
This record from Alexandria via LeMat-Bulk describes a relaxed structure of CaTa2Re. The functional is PBE.

a = 5.050 Å, b = 5.050 Å, c = 5.823 Å
α = 89.01°, β = 89.01°, γ = 31.52°
Atoms (fractional coordinates):
Re 0.250 0.250 0.219
Ca 0.498 0.498 0.497
Ta 0.006 0.006 0.008
Ta 0.746 0.746 0.776

Values from the calculation:
Symmetry = Cm (8)
Energy of formation from the pure elements = 0.602 eV per atom
Density = 12581 kg/m3
Energy above the lowest structure with this stoichiometry = 244.7 meV per atom

=====

16.
This record from Alexandria via LeMat-Bulk describes a relaxed structure of Tm6Pd5Au. The functional is PBE.

a = 7.129 Å, b = 7.124 Å, c = 6.694 Å
α = 57.85°, β = 81.97°, γ = 74.77°
Atoms (fractional coordinates):
Tm 0.723 0.098 0.348
Tm 0.277 0.554 0.348
Tm 0.211 0.290 0.000
Tm 0.789 0.710 0.000
Tm 0.723 0.446 0.652
Tm 0.277 0.902 0.652
Pd 0.500 0.131 0.738
Pd 0.000 0.306 0.388
Pd 0.500 0.500 0.000
Pd 0.000 0.694 0.612
Pd 0.500 0.869 0.262
Au 0.000 0.000 0.000

Values from the calculation:
Symmetry = C2/m (12)
Energy of formation from the pure elements = -0.769 eV per atom
Density = 10420 kg/m3
Energy above the lowest structure with this stoichiometry = 157.6 meV per atom

=====

17.
This record from Alexandria via LeMat-Bulk describes a relaxed structure of HoGa4Ag. The functional is PBE.

a = 5.242 Å, b = 4.738 Å, c = 10.072 Å
α = 103.99°, β = 105.48°, γ = 88.23°
Atoms (fractional coordinates):
Ho 0.750 0.750 0.000
Ho 0.250 0.250 0.000
Ga 0.650 0.152 0.800
Ga 0.849 0.349 0.200
Ga 0.350 0.848 0.200
Ga 0.151 0.651 0.800
Ga 0.079 0.078 0.656
Ga 0.421 0.422 0.344
Ga 0.921 0.922 0.344
Ga 0.579 0.578 0.656
Ag 0.500 0.000 0.500
Ag 0.000 0.500 0.500

Values from the calculation:
Symmetry = P-1 (2)
Energy of formation from the pure elements = -0.208 eV per atom
Density = 7836 kg/m3
Energy above the lowest structure with this stoichiometry = 0.0 meV per atom

=====

18.
This record from Alexandria via LeMat-Bulk describes a relaxed structure of RbYSb3. The functional is PBE.

a = 5.880 Å, b = 5.880 Å, c = 5.880 Å
α = 90.00°, β = 90.00°, γ = 90.00°
Atoms (fractional coordinates):
Y 0.000 0.000 0.000
Sb 0.000 0.500 0.000
Sb 0.000 0.000 0.500
Sb 0.500 0.000 0.000
Rb 0.500 0.500 0.500

Values from the calculation:
Symmetry = Pm-3m (221)
Density = 4407 kg/m3
Energy above the lowest structure with this stoichiometry = 0.0 meV per atom

=====

19.
This record from Alexandria via LeMat-Bulk describes a relaxed structure of RbMnTl. The functional is PBE.

a = 4.758 Å, b = 4.739 Å, c = 18.877 Å
α = 90.00°, β = 104.85°, γ = 90.00°
Atoms (fractional coordinates):
Tl 0.905 0.638 0.408
Tl 0.095 0.638 0.592
Tl 0.905 0.138 0.908
Tl 0.095 0.138 0.092
Mn 0.000 0.638 0.000
Mn 0.000 0.138 0.500
Mn 0.500 0.639 0.500
Mn 0.500 0.139 0.000
Rb 0.677 0.638 0.174
Rb 0.323 0.638 0.826
Rb 0.677 0.138 0.674
Rb 0.323 0.138 0.326

Values from the calculation:
Symmetry = C2/m (12)
Energy of formation from the pure elements = 0.408 eV per atom
Density = 5567 kg/m3
Energy above the lowest structure with this stoichiometry = 40.2 meV per atom

=====

20.
This record from Alexandria via LeMat-Bulk describes a relaxed structure of Hf2ZrTl2. The functional is PBE.

a = 3.166 Å, b = 3.150 Å, c = 11.723 Å
α = 82.28°, β = 90.00°, γ = 90.00°
Atoms (fractional coordinates):
Hf 0.000 0.195 0.610
Hf 0.000 0.805 0.390
Zr 0.000 0.000 0.000
Tl 0.500 0.402 0.195
Tl 0.500 0.598 0.805

Values from the calculation:
Symmetry = Cmmm (65)
Energy of formation from the pure elements = 0.131 eV per atom
Density = 12280 kg/m3
Energy above the lowest structure with this stoichiometry = 51.4 meV per atom